! CaZr2Cd | Alexandria | PBE | optimized geometry; values from VASP
! Space group   P2/m (10)
! Uncorrected energy   -19.43 eV per formula unit
! Total magnetic moment   0.000 μB/f.u.
! Formation energy   0.146 eV/atom
&SYSTEM
  ibrav = 0, nat = 4, ntyp = 3
/
ATOMIC_SPECIES
Ca 40.08 Ca.upf
Zr 91.22 Zr.upf
Cd 112.41 Cd.upf
CELL_PARAMETERS angstrom
3.177 0.000 0.000
0.000 5.709 0.000
-0.513 0.000 5.514
ATOMIC_POSITIONS angstrom
Ca 0.000 0.000 0.000
Zr 0.538 2.854 4.040
Zr 2.126 2.854 1.475
Cd 1.332 0.000 2.757

! CaZr2Cd | Alexandria | PBE | optimized geometry; values from VASP
! Space group   I-42d (122)
! Uncorrected energy   -18.38 eV per formula unit
! Total magnetic moment   0.000 μB/f.u.
! Formation energy   0.407 eV/atom
&SYSTEM
  ibrav = 0, nat = 8, ntyp = 3
/
ATOMIC_SPECIES
Ca 40.08 Ca.upf
Zr 91.22 Zr.upf
Cd 112.41 Cd.upf
CELL_PARAMETERS angstrom
-2.128 2.128 11.545
2.128 -2.128 11.545
2.128 2.128 -11.545
ATOMIC_POSITIONS angstrom
Ca 0.000 0.000 0.000
Ca 0.000 2.128 5.772
Zr 1.064 -0.992 8.659
Zr 1.137 1.064 2.886
Zr 1.064 3.120 -2.886
Zr 0.992 1.064 14.431
Cd 2.128 0.000 5.772
Cd 0.000 0.000 11.545

! CaZr2Cd | Alexandria | PBE | optimized geometry; values from VASP
! Space group   I4/mmm (139)
! Uncorrected energy   -19.22 eV per formula unit
! Total magnetic moment   0.001 μB/f.u.
! Formation energy   0.198 eV/atom
&SYSTEM
  ibrav = 0, nat = 4, ntyp = 3
/
ATOMIC_SPECIES
Ca 40.08 Ca.upf
Zr 91.22 Zr.upf
Cd 112.41 Cd.upf
CELL_PARAMETERS angstrom
-2.198 2.198 5.106
2.198 -2.198 5.106
2.198 2.198 -5.106
ATOMIC_POSITIONS angstrom
Ca 0.000 0.000 0.000
Zr 2.198 0.000 2.553
Zr 0.000 2.198 2.553
Cd 0.000 0.000 5.106

! CaZr2Cd | Alexandria | PBE | optimized geometry; values from VASP
! Space group   Cmmm (65)
! Uncorrected energy   -18.98 eV per formula unit
! Total magnetic moment   0.001 μB/f.u.
! Formation energy   0.259 eV/atom
&SYSTEM
  ibrav = 0, nat = 4, ntyp = 3
/
ATOMIC_SPECIES
Ca 40.08 Ca.upf
Zr 91.22 Zr.upf
Cd 112.41 Cd.upf
CELL_PARAMETERS angstrom
3.183 -5.104 0.000
3.183 5.104 0.000
0.000 0.000 3.030
ATOMIC_POSITIONS angstrom
Ca 0.000 0.000 0.000
Zr 1.592 2.552 1.515
Zr 1.592 -2.552 1.515
Cd 3.183 0.000 0.000